Computed, not measured: a relaxed structure of VH2F6 at the PBE with a Hubbard U level of DFT.

Structure (POSCAR):
```
VH2F6
1.0
5.4602 -4.7051 0.0000
5.4602 4.7051 0.0000
-0.7443 0.0000 4.6611
V H F
2 4 12
direct
0.1108 0.8892 0.7500
0.8892 0.1108 0.2500
0.3457 0.3738 0.1637
0.3738 0.3457 0.6637
0.6262 0.6543 0.3363
0.6543 0.6262 0.8363
0.0378 0.1518 0.6101
0.1325 0.6593 0.8518
0.1518 0.0378 0.1101
0.3043 0.4153 0.3524
0.3407 0.8675 0.6482
0.4153 0.3043 0.8524
0.5847 0.6957 0.1476
0.6593 0.1325 0.3518
0.6957 0.5847 0.6476
0.8482 0.9622 0.8899
0.8675 0.3407 0.1482
0.9622 0.8482 0.3899
```

As for the volume: 13.31 A^3/atom. The calculation puts the energy at -4.959 eV/atom. The value obtained for the spin magnetization is 0.11 μB per atom. As for the space group: C2/c (15).

Computed, not measured: a relaxed structure of VH2F8 at the PBE with a Hubbard U level of DFT.

Structure (POSCAR):
```
VH2F8
1.0
4.0493 -3.2446 0.0000
4.0493 3.2446 0.0000
-0.4196 0.0000 4.9537
V H F
1 2 8
direct
0.0000 0.0000 0.0000
0.3015 0.3015 0.4369
0.6985 0.6985 0.5631
0.0835 0.6964 0.1663
0.1652 0.1652 0.2911
0.3036 0.9165 0.8337
0.3989 0.3989 0.5969
0.6011 0.6011 0.4031
0.6964 0.0835 0.1663
0.8348 0.8348 0.7089
0.9165 0.3036 0.8337
```

As for the volume: 11.83 A^3/atom. The calculation puts the energy at -4.462 eV/atom. The value obtained for the spin magnetization is 0.10 μB per atom. The value obtained for the energy above the lowest structure with this stoichiometry is 0.016 eV per atom. As for the space group: C2/m (12).